Ba3LaI: optimized geometry, GGA-PBE.

Energy, hartree per atom: -0.095
Density, g/cm3: 4.0
Energy above the most stable polymorph in this dataset, eV per atom: 0.000
Energy relative to the elements, uncorrected, eV/atom: -0.12

Structure (POSCAR):
```
Ba3LaI
1.0
-4.377 -4.052 -2.651
4.788 -3.086 -3.188
0.726 -4.082 5.041
I Ba La
1 3 1
Direct
0.000 0.000 0.000
0.000 0.500 0.000
0.000 0.000 0.500
0.500 0.000 0.000
0.500 0.500 0.500
```